4
Lattice="2.5865 -4.4077 0.0000 2.5865 4.4077 0.0000 -0.7689 0.0000 2.5472" Properties=species:S:1:pos:R:3 comment="MgCoW2 meta-GGA SCAN PBEsol geometry" dos_at_fermi_per_ev_cell=3.37 sg="C2/m, No. 12" e_form_ev_per_atom=0.500 pbc="T T T"
Mg 0.0000 0.0000 0.0000
Co 2.5865 0.0000 0.0000
W 0.9088 2.2038 1.2736
W 0.9088 -2.2038 1.2736